MnSiBr2, relaxed, DFT PBE; SG = Fm-3m (225)
1.0
0.000 3.311 3.311
3.311 0.000 3.311
3.311 3.311 0.000
Mn Si Br
1 1 2
direct
0.000 0.000 0.000
0.500 0.500 0.500
0.250 0.250 0.250
0.750 0.750 0.750


MnSiBr2, relaxed, DFT PBE; SG = P4/mmm (123)
1.0
3.264 0.000 0.000
0.000 3.264 0.000
0.000 0.000 9.217
Mn Si Br
1 1 2
direct
0.000 0.000 0.000
0.000 0.000 0.500
0.500 0.500 0.181
0.500 0.500 0.819


MnSiBr2, relaxed, DFT PBE; SG = Pmmm (47)
1.0
3.421 0.000 0.000
0.000 4.410 0.000
0.000 0.000 6.057
Mn Si Br
1 1 2
direct
0.000 0.000 0.000
0.500 0.000 0.500
0.000 0.500 0.500
0.500 0.500 0.000


Mn2SiBr, relaxed, DFT PBE; SG = Immm (71)
1.0
-1.668 2.849 3.840
1.668 -2.849 3.840
1.668 2.849 -3.840
Mn Si Br
2 1 1
direct
0.227 0.227 0.000
0.773 0.773 0.000
0.000 0.500 0.500
0.500 0.000 0.500


Mn2SiBr, relaxed, DFT PBE; SG = F-43m (216)
1.0
0.000 3.105 3.105
3.105 0.000 3.105
3.105 3.105 0.000
Mn Si Br
2 1 1
direct
0.000 0.000 0.000
0.250 0.250 0.250
0.750 0.750 0.750
0.500 0.500 0.500


Mn2SiBr, relaxed, DFT PBE; SG = Pmmm (47)
1.0
3.043 0.000 0.000
0.000 3.240 0.000
0.000 0.000 6.802
Mn Si Br
2 1 1
direct
0.000 0.000 0.184
0.000 0.000 0.816
0.500 0.500 0.000
0.500 0.000 0.500


Mn2SiBr, relaxed, DFT PBE; SG = C2/m (12)
1.0
3.395 -3.410 0.000
3.395 3.410 0.000
-0.636 0.000 2.956
Mn Si Br
2 1 1
direct
0.000 0.500 0.000
0.500 0.000 0.000
0.000 0.000 0.500
0.500 0.500 0.500


Mn2SiBr, relaxed, DFT PBE; SG = Amm2 (38)
1.0
3.263 0.000 0.000
0.000 1.723 6.306
0.000 -1.723 6.306
Mn Si Br
2 1 1
direct
0.000 0.000 0.000
0.500 0.178 0.178
0.500 0.539 0.539
0.000 0.795 0.795


Let's list formation energy without anion corrections in order: 1005.2, 368.6, 355.5, 431.5, 862.2, 74.1, 427.0, 31.8 meV/atom.
Let's list density of states at the Fermi level in order: 1.492, 0.418, 0.420, 0.590, 0.505, 0.686, 0.629, 0.664 states/eV per atom.